Entry 1:
# Sr2MgZn

A PBEsol-optimized structure of Sr2MgZn (SCAN, Alexandria via LeMat-Bulk).

The total energy is -15.82 eV/atom.

The space group is P4mm (No. 99) and the conventional cell measures 3.8060, 3.8060 and 8.9576 Å, with angles of 90.00, 90.00 and 90.00 degrees. The distinct sites, in fractional coordinates, are Sr at (0.0000, 0.0000, 0.0000), Sr at (0.5000, 0.5000, 0.3736), Mg at (0.5000, 0.5000, 0.7431) and Zn at (0.0000, 0.0000, 0.6011).

Entry 2:
# ZrSiSe2

A PBEsol-optimized structure of ZrSiSe2 (SCAN, Alexandria via LeMat-Bulk).

The total energy is -20.72 eV/atom. As for the formation energy without anion corrections: -0.503 eV per atom.

The space group is Immm (No. 71) and the conventional cell measures 3.6570, 4.7987 and 8.2143 Å, with angles of 90.00, 90.00 and 90.00 degrees. The distinct sites, in fractional coordinates, are Zr at (0.0000, 0.0000, 0.0000), Si at (0.0000, 0.0000, 0.5000) and Se at (0.0000, 0.5000, 0.2060).

Entry 3:
# SrTaTe2

A PBEsol-optimized structure of SrTaTe2 (SCAN, Alexandria via LeMat-Bulk).

The total energy is -41.29 eV/atom. As for the formation energy without anion corrections: -0.454 eV per atom.

The space group is Cm (No. 8) and the conventional cell measures 8.6217, 3.8305 and 7.3976 Å, with angles of 90.00, 108.17 and 90.00 degrees. The distinct sites, in fractional coordinates, are Sr at (0.0000, 0.0000, 0.0000), Ta at (0.2794, 0.0000, 0.5728), Te at (0.1086, 0.5000, 0.6989) and Te at (0.2802, 0.5000, 0.2980).

Entry 4:
# CoPtRh2

A PBEsol-optimized structure of CoPtRh2 (SCAN, Alexandria via LeMat-Bulk).

The total energy is -38.81 eV/atom.

The space group is I-4m2 (No. 119) and the conventional cell measures 3.7539, 3.7539 and 7.4688 Å, with angles of 90.00, 90.00 and 90.00 degrees. The distinct sites, in fractional coordinates, are Co at (0.0000, 0.0000, 0.0000), Pt at (0.0000, 0.5000, 0.7500), Rh at (0.0000, 0.0000, 0.5000) and Rh at (0.0000, 0.5000, 0.2500).

Entry 5:
# CoIr2Os

A PBEsol-optimized structure of CoIr2Os (SCAN, Alexandria via LeMat-Bulk).

The total energy is -57.78 eV/atom.

The space group is C2/m (No. 12) and the conventional cell measures 8.7901, 2.6661 and 4.5707 Å, with angles of 90.00, 100.18 and 90.00 degrees. The distinct sites, in fractional coordinates, are Co at (0.0000, 0.0000, 0.0000), Ir at (0.2489, 0.5000, 0.2463) and Os at (0.0000, 0.5000, 0.5000).

Entry 6:
# Zr2CrTe

A PBEsol-optimized structure of Zr2CrTe (SCAN, Alexandria via LeMat-Bulk).

The total energy is -29.47 eV/atom. As for the formation energy without anion corrections: -0.212 eV per atom.

The space group is P2/m (No. 10) and the conventional cell measures 3.5170, 3.5166 and 6.1765 Å, with angles of 90.00, 90.81 and 90.00 degrees. The distinct sites, in fractional coordinates, are Zr at (0.0065, 0.0000, 0.2669), Cr at (0.5000, 0.5000, 0.5000) and Te at (0.5000, 0.5000, 0.0000).

Entry 7:
# SrZn2Ni2

A PBEsol-optimized structure of SrZn2Ni2 (SCAN, Alexandria via LeMat-Bulk).

The total energy is -16.46 eV/atom.

The space group is I4/mmm (No. 139) and the conventional cell measures 4.1127, 4.1127 and 10.0815 Å, with angles of 90.00, 90.00 and 90.00 degrees. The distinct sites, in fractional coordinates, are Sr at (0.0000, 0.0000, 0.0000), Zn at (0.0000, 0.0000, 0.3701) and Ni at (0.0000, 0.5000, 0.2500).

Entry 8:
# NbCrSb2Te

A PBEsol-optimized structure of NbCrSb2Te (SCAN, Alexandria via LeMat-Bulk).

The total energy is -31.92 eV/atom. As for the formation energy without anion corrections: 0.733 eV per atom.

The space group is P4/mmm (No. 123) and the conventional cell measures 4.9212, 4.9212 and 5.1362 Å, with angles of 90.00, 90.00 and 90.00 degrees. The distinct sites, in fractional coordinates, are Nb at (0.0000, 0.0000, 0.0000), Cr at (0.5000, 0.5000, 0.5000), Sb at (0.0000, 0.5000, 0.5000) and Te at (0.5000, 0.5000, 0.0000).

Entry 9:
# CrBO3

A PBEsol-optimized structure of CrBO3 (SCAN, Alexandria via LeMat-Bulk).

The total energy is -11.53 eV/atom. As for the formation energy without anion corrections: -2.624 eV per atom.

The space group is R-3c (No. 167, hexagonal axes) and the conventional cell measures 4.5716, 4.5716 and 14.1506 Å, with angles of 90.00, 90.00 and 120.00 degrees. The distinct sites, in fractional coordinates, are Cr at (0.0000, 0.0000, 0.0000), B at (0.0000, 0.0000, 0.2500) and O at (0.0000, 0.3023, 0.2500).

Entry 10:
# Ti2SiC

A PBEsol-optimized structure of Ti2SiC (SCAN, Alexandria via LeMat-Bulk).

The total energy is -13.90 eV/atom. As for the formation energy without anion corrections: -0.857 eV per atom.

The space group is P6_3/mmc (No. 194) and the conventional cell measures 3.0212, 3.0212 and 12.7671 Å, with angles of 90.00, 90.00 and 120.00 degrees. The distinct sites, in fractional coordinates, are Ti at (0.3333, 0.6667, 0.0916), Si at (0.3333, 0.6667, 0.7500) and C at (0.0000, 0.0000, 0.0000).

Entry 11:
# Ca2TiCdBr

A PBEsol-optimized structure of Ca2TiCdBr (SCAN, Alexandria via LeMat-Bulk).

The total energy is -16.78 eV/atom. As for the formation energy without anion corrections: 0.265 eV per atom.

The space group is P4/mmm (No. 123) and the conventional cell measures 5.8569, 5.8569 and 5.1818 Å, with angles of 90.00, 90.00 and 90.00 degrees. The distinct sites, in fractional coordinates, are Ca at (0.0000, 0.5000, 0.0000), Ti at (0.0000, 0.0000, 0.0000), Cd at (0.0000, 0.0000, 0.5000) and Br at (0.5000, 0.5000, 0.5000).

Entry 12:
# BaAl2Ga2

A PBEsol-optimized structure of BaAl2Ga2 (SCAN, Alexandria via LeMat-Bulk).

The total energy is -17.97 eV/atom.

The space group is I4/mmm (No. 139) and the conventional cell measures 4.4442, 4.4442 and 11.0690 Å, with angles of 90.00, 90.00 and 90.00 degrees. The distinct sites, in fractional coordinates, are Ba at (0.0000, 0.0000, 0.0000), Al at (0.0000, 0.5000, 0.2500) and Ga at (0.0000, 0.0000, 0.3816).

Entry 13:
# TmAlPd

A PBEsol-optimized structure of TmAlPd (SCAN, Alexandria via LeMat-Bulk).

The total energy is -31.82 eV/atom.

The space group is Pnma (No. 62) and the conventional cell measures 6.7469, 4.3438 and 7.6668 Å, with angles of 90.00, 90.00 and 90.00 degrees. The distinct sites, in fractional coordinates, are Tm at (0.0317, 0.2500, 0.1796), Al at (0.1435, 0.2500, 0.5619) and Pd at (0.2324, 0.7500, 0.3812).

Entry 14:
# Ba5Mg

A PBEsol-optimized structure of Ba5Mg (SCAN, Alexandria via LeMat-Bulk).

The total energy is -33.74 eV/atom.

The space group is Cmmm (No. 65) and the conventional cell measures 6.1966, 15.6335 and 6.2639 Å, with angles of 90.00, 90.00 and 90.00 degrees. The distinct sites, in fractional coordinates, are Ba at (0.0000, 0.0000, 0.0000), Ba at (0.0000, 0.1496, 0.5000), Ba at (0.0000, 0.3453, 0.0000) and Mg at (0.0000, 0.5000, 0.5000).

Entry 15:
# HfTcAg2

A PBEsol-optimized structure of HfTcAg2 (SCAN, Alexandria via LeMat-Bulk).

The total energy is -39.69 eV/atom.

The space group is Fm-3m (No. 225) and the conventional cell measures 6.4549, 6.4549 and 6.4549 Å, with angles of 90.00, 90.00 and 90.00 degrees. The distinct sites, in fractional coordinates, are Hf at (0.0000, 0.0000, 0.0000), Tc at (0.0000, 0.0000, 0.5000) and Ag at (0.2500, 0.2500, 0.2500).

Entry 16:
# Mg2ScHg

A PBEsol-optimized structure of Mg2ScHg (SCAN, Alexandria via LeMat-Bulk).

The total energy is -23.46 eV/atom.

The space group is F-43m (No. 216) and the conventional cell measures 6.8904, 6.8904 and 6.8904 Å, with angles of 90.00, 90.00 and 90.00 degrees. The distinct sites, in fractional coordinates, are Mg at (0.0000, 0.0000, 0.0000), Mg at (0.2500, 0.2500, 0.2500), Sc at (0.0000, 0.0000, 0.5000) and Hg at (0.2500, 0.2500, 0.7500).

Entry 17:
# Dy3Sc2S7

A PBEsol-optimized structure of Dy3Sc2S7 (SCAN, Alexandria via LeMat-Bulk).

The total energy is -22.24 eV/atom. As for the formation energy without anion corrections: -2.298 eV per atom.

The space group is C2/m (No. 12) and the conventional cell measures 12.2523, 3.6924 and 11.2107 Å, with angles of 90.00, 105.13 and 90.00 degrees. The distinct sites, in fractional coordinates, are Dy at (0.0000, 0.0000, 0.0000), Dy at (0.1963, 0.5000, 0.7987), Sc at (0.1119, 0.0000, 0.4294), S at (0.0000, 0.5000, 0.5000), S at (0.0318, 0.0000, 0.7759), S at (0.1632, 0.5000, 0.0530) and S at (0.2355, 0.5000, 0.3602).

Entry 18:
# RbSiAg3

A PBEsol-optimized structure of RbSiAg3 (SCAN, Alexandria via LeMat-Bulk).

The total energy is -24.90 eV/atom. As for the formation energy without anion corrections: 0.067 eV per atom.

The space group is Pm-3m (No. 221) and the conventional cell measures 4.9285, 4.9285 and 4.9285 Å, with angles of 90.00, 90.00 and 90.00 degrees. The distinct sites, in fractional coordinates, are Rb at (0.0000, 0.0000, 0.0000), Si at (0.5000, 0.5000, 0.5000) and Ag at (0.0000, 0.5000, 0.5000).

Entry 19:
# Y5Mg4

A PBEsol-optimized structure of Y5Mg4 (SCAN, Alexandria via LeMat-Bulk).

The total energy is -17.69 eV/atom.

The space group is P6_3/mcm (No. 193) and the conventional cell measures 9.2988, 9.2988 and 6.6389 Å, with angles of 90.00, 90.00 and 120.00 degrees. The distinct sites, in fractional coordinates, are Y at (0.0000, 0.3225, 0.2500), Y at (0.3333, 0.6667, 0.0000), Mg at (0.0000, 0.0000, 0.0000) and Mg at (0.0000, 0.3416, 0.7500).

Entry 20:
# Sb2SeS

A PBEsol-optimized structure of Sb2SeS (SCAN, Alexandria via LeMat-Bulk).

The total energy is -25.97 eV/atom. As for the formation energy without anion corrections: 0.083 eV per atom.

The space group is I-42d (No. 122) and the conventional cell measures 7.5483, 7.5483 and 6.7940 Å, with angles of 90.00, 90.00 and 90.00 degrees. The distinct sites, in fractional coordinates, are Sb at (0.2390, 0.2500, 0.1250), Se at (0.0000, 0.0000, 0.5000) and S at (0.0000, 0.0000, 0.0000).

Entry 21:
# LiCuRh

A PBEsol-optimized structure of LiCuRh (SCAN, Alexandria via LeMat-Bulk).

The total energy is -17.12 eV/atom.

The space group is Fmm2 (No. 42) and the conventional cell measures 2.6637, 4.3912 and 13.0753 Å, with angles of 90.00, 90.00 and 90.00 degrees. The distinct sites, in fractional coordinates, are Li at (0.0000, 0.0000, 0.0000), Cu at (0.0000, 0.0000, 0.6667) and Rh at (0.0000, 0.0000, 0.3345).

Entry 22:
# Sc2AlPd

A PBEsol-optimized structure of Sc2AlPd (SCAN, Alexandria via LeMat-Bulk).

The total energy is -17.51 eV/atom.

The space group is I-42d (No. 122) and the conventional cell measures 7.4934, 7.4934 and 5.6094 Å, with angles of 90.00, 90.00 and 90.00 degrees. The distinct sites, in fractional coordinates, are Sc at (0.2139, 0.7500, 0.1250), Al at (0.0000, 0.0000, 0.5000) and Pd at (0.0000, 0.0000, 0.0000).

Entry 23:
# InCoAg2

A PBEsol-optimized structure of InCoAg2 (SCAN, Alexandria via LeMat-Bulk).

The total energy is -28.05 eV/atom.

The space group is P4mm (No. 99) and the conventional cell measures 2.9824, 2.9824 and 7.0816 Å, with angles of 90.00, 90.00 and 90.00 degrees. The distinct sites, in fractional coordinates, are In at (0.0000, 0.0000, 0.0000), Co at (0.5000, 0.5000, 0.7831), Ag at (0.0000, 0.0000, 0.5562) and Ag at (0.5000, 0.5000, 0.2919).

Entry 24:
# Zr2BeAs

A PBEsol-optimized structure of Zr2BeAs (SCAN, Alexandria via LeMat-Bulk).

The total energy is -21.90 eV/atom.

The space group is Imm2 (No. 44) and the conventional cell measures 3.6000, 4.0514 and 9.2982 Å, with angles of 90.00, 90.00 and 90.00 degrees. The distinct sites, in fractional coordinates, are Zr at (0.0000, 0.0000, 0.0000), Zr at (0.0000, 0.5000, 0.2369), Be at (0.0000, 0.0000, 0.4677) and As at (0.0000, 0.5000, 0.7766).

Entry 25:
# Ir4Cl3

A PBEsol-optimized structure of Ir4Cl3 (SCAN, Alexandria via LeMat-Bulk).

The total energy is -42.55 eV/atom. As for the formation energy without anion corrections: 1.499 eV per atom.

The space group is P6/mmm (No. 191) and the conventional cell measures 4.5056, 4.5056 and 7.6970 Å, with angles of 90.00, 90.00 and 120.00 degrees. The distinct sites, in fractional coordinates, are Ir at (0.0000, 0.0000, 0.1527), Ir at (0.3333, 0.6667, 0.0000) and Cl at (0.0000, 0.5000, 0.5000).

Entry 26:
# ScTa2Be

A PBEsol-optimized structure of ScTa2Be (SCAN, Alexandria via LeMat-Bulk).

The total energy is -37.70 eV/atom.

The space group is I-4m2 (No. 119) and the conventional cell measures 3.9974, 3.9974 and 8.2273 Å, with angles of 90.00, 90.00 and 90.00 degrees. The distinct sites, in fractional coordinates, are Sc at (0.0000, 0.0000, 0.0000), Ta at (0.0000, 0.0000, 0.5000), Ta at (0.0000, 0.5000, 0.2500) and Be at (0.0000, 0.5000, 0.7500).

Entry 27:
# SrY2Si

A PBEsol-optimized structure of SrY2Si (SCAN, Alexandria via LeMat-Bulk).

The total energy is -21.94 eV/atom. As for the formation energy without anion corrections: 0.055 eV per atom.

The space group is I4/mmm (No. 139) and the conventional cell measures 4.6785, 4.6785 and 9.5823 Å, with angles of 90.00, 90.00 and 90.00 degrees. The distinct sites, in fractional coordinates, are Sr at (0.0000, 0.0000, 0.0000), Y at (0.0000, 0.5000, 0.2500) and Si at (0.0000, 0.0000, 0.5000).